# TlCl3F

A relaxed TlCl3F crystal (GGA-PBE, the Alexandria database).

Values from the calculation:
Energy above the most stable polymorph in this dataset   715 meV/atom
Magnetic moment   0.000 μB per formula unit
E_form (uncorrected)   -0.105 eV/atom
DOS(E_F)   0.757 states/eV/atom
Mass density   4.7 g cm⁻³

```
data_TlCl3F
_cell_length_a 4.886
_cell_length_b 4.886
_cell_length_c 4.886
_cell_angle_alpha 90.00
_cell_angle_beta 90.00
_cell_angle_gamma 90.00
_space_group_name_H-M_alt 'P m -3 m'
_space_group_IT_number 221
_space_group_name_Hall '-P 4 2 3'
loop_
_atom_site_label
_atom_site_type_symbol
_atom_site_fract_x
_atom_site_fract_y
_atom_site_fract_z
_atom_site_occupancy
Tl1 Tl 0.000 0.000 0.000 1
Cl1 Cl 0.000 0.500 0.500 1
F1 F 0.500 0.500 0.500 1
```

# Tl7Cl4F4

A relaxed Tl7Cl4F4 crystal (GGA-PBE, the Alexandria database).

Values from the calculation:
Magnetic moment   0.000 μB per formula unit
E_form (uncorrected)   -1.291 eV/atom
DOS(E_F)   0.511 states/eV/atom
Mass density   7.1 g cm⁻³

```
data_Tl7Cl4F4
_cell_length_a 14.879
_cell_length_b 14.879
_cell_length_c 7.001
_cell_angle_alpha 90.00
_cell_angle_beta 90.00
_cell_angle_gamma 90.00
_space_group_name_H-M_alt 'I 4/m m m'
_space_group_IT_number 139
_space_group_name_Hall '-I 4 2'
loop_
_atom_site_label
_atom_site_type_symbol
_atom_site_fract_x
_atom_site_fract_y
_atom_site_fract_z
_atom_site_occupancy
Tl1 Tl 0.000 0.000 0.248 1
Tl2 Tl 0.000 0.281 0.500 1
Tl3 Tl 0.000 0.387 0.000 1
Tl4 Tl 0.212 0.212 0.000 1
Cl1 Cl 0.000 0.199 0.000 1
Cl2 Cl 0.130 0.130 0.500 1
F1 F 0.128 0.372 0.250 1
```

# Tl6ClF5

A relaxed Tl6ClF5 crystal (GGA-PBE, the Alexandria database).

Values from the calculation:
Magnetic moment   0.000 μB per formula unit
E_form (uncorrected)   -1.590 eV/atom
DOS(E_F)   0.000 states/eV/atom
Mass density   7.5 g cm⁻³

```
data_Tl6ClF5
_cell_length_a 7.005
_cell_length_b 12.645
_cell_length_c 7.231
_cell_angle_alpha 90.00
_cell_angle_beta 110.22
_cell_angle_gamma 90.00
_space_group_name_H-M_alt 'C 1 2/m 1'
_space_group_IT_number 12
loop_
_space_group_symop_operation_xyz
'x,y,z'
'-x,-y,-z'
'-x,y,-z'
'x,-y,z'
'x+1/2,y+1/2,z'
'-x+1/2,-y+1/2,-z'
'-x+1/2,y+1/2,-z'
'x+1/2,-y+1/2,z'
loop_
_atom_site_label
_atom_site_type_symbol
_atom_site_fract_x
_atom_site_fract_y
_atom_site_fract_z
_atom_site_occupancy
Tl1 Tl 0.221 0.180 0.246 1
Tl2 Tl 0.241 0.000 0.786 1
Cl1 Cl 0.000 0.500 0.500 1
F1 F 0.000 0.000 0.000 1
F2 F 0.000 0.201 0.500 1
F3 F 0.000 0.361 0.000 1
```

# Tl4ClF3

A relaxed Tl4ClF3 crystal (GGA-PBE, the Alexandria database).

Values from the calculation:
Energy above the most stable polymorph in this dataset   22 meV/atom
Magnetic moment   0.000 μB per formula unit
E_form (uncorrected)   -1.525 eV/atom
DOS(E_F)   0.000 states/eV/atom
Mass density   6.2 g cm⁻³

```
data_Tl4ClF3
_cell_length_a 9.167
_cell_length_b 8.343
_cell_length_c 6.421
_cell_angle_alpha 90.00
_cell_angle_beta 90.00
_cell_angle_gamma 90.00
_space_group_name_H-M_alt 'P m n 21'
_space_group_IT_number 31
loop_
_space_group_symop_operation_xyz
'x,y,z'
'-x+1/2,-y,z+1/2'
'-x,y,z'
'x+1/2,-y,z+1/2'
loop_
_atom_site_label
_atom_site_type_symbol
_atom_site_fract_x
_atom_site_fract_y
_atom_site_fract_z
_atom_site_occupancy
Tl1 Tl 0.000 0.161 0.000 1
Tl2 Tl 0.000 0.834 0.534 1
Tl3 Tl 0.201 0.637 0.056 1
Cl1 Cl 0.000 0.236 0.473 1
F1 F 0.000 0.868 0.153 1
F2 F 0.237 0.677 0.439 1
```

# TlClF4

A relaxed TlClF4 crystal (GGA-PBE, the Alexandria database).

Values from the calculation:
Magnetic moment   0.000 μB per formula unit
E_form (uncorrected)   -1.101 eV/atom
DOS(E_F)   0.000 states/eV/atom
Mass density   4.5 g cm⁻³

```
data_TlClF4
_cell_length_a 10.779
_cell_length_b 4.836
_cell_length_c 9.034
_cell_angle_alpha 90.00
_cell_angle_beta 100.23
_cell_angle_gamma 90.00
_space_group_name_H-M_alt 'C 1 2/c 1'
_space_group_IT_number 15
loop_
_space_group_symop_operation_xyz
'x,y,z'
'-x,-y,-z'
'-x,y,-z+1/2'
'x,-y,z+1/2'
'x+1/2,y+1/2,z'
'-x+1/2,-y+1/2,-z'
'-x+1/2,y+1/2,-z+1/2'
'x+1/2,-y+1/2,z+1/2'
loop_
_atom_site_label
_atom_site_type_symbol
_atom_site_fract_x
_atom_site_fract_y
_atom_site_fract_z
_atom_site_occupancy
Tl1 Tl 0.000 0.230 0.250 1
Cl1 Cl 0.250 0.250 0.000 1
F1 F 0.077 0.253 0.934 1
F2 F 0.231 0.017 0.637 1
```

# Tl3Cl3F

A relaxed Tl3Cl3F crystal (GGA-PBE, the Alexandria database).

Values from the calculation:
Magnetic moment   0.000 μB per formula unit
E_form (uncorrected)   -1.072 eV/atom
Mass density   5.6 g cm⁻³

```
data_Tl3Cl3F
_cell_length_a 8.438
_cell_length_b 13.754
_cell_length_c 7.524
_cell_angle_alpha 90.00
_cell_angle_beta 92.49
_cell_angle_gamma 90.00
_space_group_name_H-M_alt 'C 1 2/m 1'
_space_group_IT_number 12
loop_
_space_group_symop_operation_xyz
'x,y,z'
'-x,-y,-z'
'-x,y,-z'
'x,-y,z'
'x+1/2,y+1/2,z'
'-x+1/2,-y+1/2,-z'
'-x+1/2,y+1/2,-z'
'x+1/2,-y+1/2,z'
loop_
_atom_site_label
_atom_site_type_symbol
_atom_site_fract_x
_atom_site_fract_y
_atom_site_fract_z
_atom_site_occupancy
Tl1 Tl 0.103 0.000 0.284 1
Tl2 Tl 0.201 0.337 0.241 1
Cl1 Cl 0.000 0.149 0.000 1
Cl2 Cl 0.000 0.205 0.500 1
Cl3 Cl 0.114 0.500 0.888 1
F1 F 0.171 0.000 0.628 1
```

# Tl3Cl2F

A relaxed Tl3Cl2F crystal (GGA-PBE, the Alexandria database).

Values from the calculation:
Energy above the most stable polymorph in this dataset   0 meV/atom
Magnetic moment   0.000 μB per formula unit
E_form (uncorrected)   -1.257 eV/atom
DOS(E_F)   0.000 states/eV/atom
Mass density   6.1 g cm⁻³

```
data_Tl3Cl2F
_cell_length_a 12.277
_cell_length_b 4.408
_cell_length_c 14.161
_cell_angle_alpha 90.00
_cell_angle_beta 90.00
_cell_angle_gamma 90.00
_space_group_name_H-M_alt 'P n m a'
_space_group_IT_number 62
loop_
_space_group_symop_operation_xyz
'x,y,z'
'-x,-y,-z'
'-x+1/2,-y,z+1/2'
'x+1/2,y,-z+1/2'
'x+1/2,-y+1/2,-z+1/2'
'-x+1/2,y+1/2,z+1/2'
'-x,y+1/2,-z'
'x,-y+1/2,z'
loop_
_atom_site_label
_atom_site_type_symbol
_atom_site_fract_x
_atom_site_fract_y
_atom_site_fract_z
_atom_site_occupancy
Tl1 Tl 0.075 0.250 0.112 1
Tl2 Tl 0.106 0.750 0.595 1
Tl3 Tl 0.250 0.250 0.823 1
Cl1 Cl 0.006 0.250 0.736 1
Cl2 Cl 0.227 0.750 0.011 1
F1 F 0.244 0.250 0.213 1
```

# TlCl2F6

A relaxed TlCl2F6 crystal (GGA-PBE, the Alexandria database).

Values from the calculation:
Magnetic moment   1.083 μB per formula unit
E_form (uncorrected)   -0.921 eV/atom
DOS(E_F)   1.142 states/eV/atom
Mass density   3.3 g cm⁻³

```
data_TlCl2F6
_cell_length_a 12.102
_cell_length_b 16.219
_cell_length_c 7.884
_cell_angle_alpha 90.00
_cell_angle_beta 90.00
_cell_angle_gamma 90.00
_space_group_name_H-M_alt 'F d d 2'
_space_group_IT_number 43
_space_group_name_Hall 'F 2 -2d'
loop_
_atom_site_label
_atom_site_type_symbol
_atom_site_fract_x
_atom_site_fract_y
_atom_site_fract_z
_atom_site_occupancy
Tl1 Tl 0.000 0.000 0.000 1
Cl1 Cl 0.064 0.224 0.614 1
F1 F 0.043 0.115 0.935 1
F2 F 0.048 0.230 0.234 1
F3 F 0.069 0.430 0.745 1
```

# TlCl2F

A relaxed TlCl2F crystal (GGA-PBE, the Alexandria database).

Values from the calculation:
Energy above the most stable polymorph in this dataset   526 meV/atom
Magnetic moment   0.000 μB per formula unit
E_form (uncorrected)   -0.528 eV/atom
DOS(E_F)   0.000 states/eV/atom
Mass density   3.3 g cm⁻³

```
data_TlCl2F
_cell_length_a 4.8792
_cell_length_b 4.8792
_cell_length_c 21.3288
_cell_angle_alpha 90.00
_cell_angle_beta 90.00
_cell_angle_gamma 120.00
_space_group_name_H-M_alt 'R -3 m'
_space_group_IT_number 166
_space_group_name_Hall '-R 3 2"'
loop_
_atom_site_label
_atom_site_type_symbol
_atom_site_fract_x
_atom_site_fract_y
_atom_site_fract_z
_atom_site_occupancy
Tl1 Tl 0.0000 0.0000 0.0000 1
Cl1 Cl 0.0000 0.0000 0.4051 1
F1 F 0.0000 0.0000 0.5000 1
```

# Tl4Cl3F

A relaxed Tl4Cl3F crystal (GGA-PBE, the Alexandria database).

Values from the calculation:
Energy above the most stable polymorph in this dataset   6 meV/atom
Magnetic moment   0.000 μB per formula unit
E_form (uncorrected)   -1.170 eV/atom
DOS(E_F)   0.000 states/eV/atom
Mass density   6.3 g cm⁻³

```
data_Tl4Cl3F
_cell_length_a 8.249
_cell_length_b 11.507
_cell_length_c 10.541
_cell_angle_alpha 90.00
_cell_angle_beta 90.00
_cell_angle_gamma 90.00
_space_group_name_H-M_alt 'P n m a'
_space_group_IT_number 62
loop_
_space_group_symop_operation_xyz
'x,y,z'
'-x,-y,-z'
'-x+1/2,-y,z+1/2'
'x+1/2,y,-z+1/2'
'x+1/2,-y+1/2,-z+1/2'
'-x+1/2,y+1/2,z+1/2'
'-x,y+1/2,-z'
'x,-y+1/2,z'
loop_
_atom_site_label
_atom_site_type_symbol
_atom_site_fract_x
_atom_site_fract_y
_atom_site_fract_z
_atom_site_occupancy
Tl1 Tl 0.066 0.250 0.210 1
Tl2 Tl 0.225 0.043 0.481 1
Tl3 Tl 0.243 0.250 0.753 1
Cl1 Cl 0.007 0.534 0.200 1
Cl2 Cl 0.132 0.750 0.514 1
F1 F 0.184 0.750 0.930 1
```

# TlCl2F

A relaxed TlCl2F crystal (GGA-PBE, the Alexandria database).

Values from the calculation:
Energy above the most stable polymorph in this dataset   572 meV/atom
Magnetic moment   0.020 μB per formula unit
E_form (uncorrected)   -0.482 eV/atom
DOS(E_F)   2.797 states/eV/atom
Mass density   6.6 g cm⁻³

```
data_TlCl2F
_cell_length_a 6.676
_cell_length_b 6.676
_cell_length_c 6.676
_cell_angle_alpha 90.00
_cell_angle_beta 90.00
_cell_angle_gamma 90.00
_space_group_name_H-M_alt 'F m -3 m'
_space_group_IT_number 225
_space_group_name_Hall '-F 4 2 3'
loop_
_atom_site_label
_atom_site_type_symbol
_atom_site_fract_x
_atom_site_fract_y
_atom_site_fract_z
_atom_site_occupancy
Tl1 Tl 0.000 0.000 0.000 1
Cl1 Cl 0.250 0.250 0.250 1
F1 F 0.000 0.000 0.500 1
```

# TlClF3

A relaxed TlClF3 crystal (GGA-PBE, the Alexandria database).

Values from the calculation:
Energy above the most stable polymorph in this dataset   603 meV/atom
Magnetic moment   0.000 μB per formula unit
E_form (uncorrected)   -0.784 eV/atom
DOS(E_F)   0.288 states/eV/atom
Mass density   5.6 g cm⁻³

```
data_TlClF3
_cell_length_a 4.446
_cell_length_b 4.446
_cell_length_c 4.446
_cell_angle_alpha 90.00
_cell_angle_beta 90.00
_cell_angle_gamma 90.00
_space_group_name_H-M_alt 'P m -3 m'
_space_group_IT_number 221
_space_group_name_Hall '-P 4 2 3'
loop_
_atom_site_label
_atom_site_type_symbol
_atom_site_fract_x
_atom_site_fract_y
_atom_site_fract_z
_atom_site_occupancy
Tl1 Tl 0.000 0.000 0.000 1
Cl1 Cl 0.500 0.500 0.500 1
F1 F 0.000 0.500 0.500 1
```

# UTl3Cl2F6

A relaxed UTl3Cl2F6 crystal (GGA-PBE, the Alexandria database).

Values from the calculation:
Magnetic moment   1.000 μB per formula unit
E_form (uncorrected)   -2.428 eV/atom
Mass density   5.7 g cm⁻³

```
data_UTl3Cl2F6
_cell_length_a 16.412
_cell_length_b 8.096
_cell_length_c 4.697
_cell_angle_alpha 90.00
_cell_angle_beta 105.96
_cell_angle_gamma 90.00
_space_group_name_H-M_alt 'C 1 2/m 1'
_space_group_IT_number 12
loop_
_space_group_symop_operation_xyz
'x,y,z'
'-x,-y,-z'
'-x,y,-z'
'x,-y,z'
'x+1/2,y+1/2,z'
'-x+1/2,-y+1/2,-z'
'-x+1/2,y+1/2,-z'
'x+1/2,-y+1/2,z'
loop_
_atom_site_label
_atom_site_type_symbol
_atom_site_fract_x
_atom_site_fract_y
_atom_site_fract_z
_atom_site_occupancy
U1 U 0.000 0.000 0.000 1
Tl1 Tl 0.000 0.500 0.500 1
Tl2 Tl 0.250 0.250 0.500 1
Cl1 Cl 0.183 0.500 0.937 1
F1 F 0.060 0.190 0.290 1
F2 F 0.103 0.000 0.833 1
```

# UTl2Cl4F2

A relaxed UTl2Cl4F2 crystal (GGA-PBE, the Alexandria database).

Values from the calculation:
Magnetic moment   2.000 μB per formula unit
E_form (uncorrected)   -1.942 eV/atom
DOS(E_F)   0.105 states/eV/atom
Mass density   5.4 g cm⁻³

```
data_UTl2Cl4F2
_cell_length_a 11.924
_cell_length_b 7.676
_cell_length_c 5.586
_cell_angle_alpha 90.00
_cell_angle_beta 96.90
_cell_angle_gamma 90.00
_space_group_name_H-M_alt 'C 1 2/m 1'
_space_group_IT_number 12
loop_
_space_group_symop_operation_xyz
'x,y,z'
'-x,-y,-z'
'-x,y,-z'
'x,-y,z'
'x+1/2,y+1/2,z'
'-x+1/2,-y+1/2,-z'
'-x+1/2,y+1/2,-z'
'x+1/2,-y+1/2,z'
loop_
_atom_site_label
_atom_site_type_symbol
_atom_site_fract_x
_atom_site_fract_y
_atom_site_fract_z
_atom_site_occupancy
U1 U 0.000 0.000 0.000 1
Tl1 Tl 0.176 0.500 0.299 1
Cl1 Cl 0.112 0.253 0.793 1
F1 F 0.132 0.000 0.280 1
```

# UTl2Cl2F4

A relaxed UTl2Cl2F4 crystal (GGA-PBE, the Alexandria database).

Values from the calculation:
Magnetic moment   2.000 μB per formula unit
E_form (uncorrected)   -2.402 eV/atom
DOS(E_F)   0.347 states/eV/atom
Mass density   5.9 g cm⁻³

```
data_UTl2Cl2F4
_cell_length_a 13.010
_cell_length_b 6.423
_cell_length_c 5.385
_cell_angle_alpha 90.00
_cell_angle_beta 94.94
_cell_angle_gamma 90.00
_space_group_name_H-M_alt 'C 1 2/m 1'
_space_group_IT_number 12
loop_
_space_group_symop_operation_xyz
'x,y,z'
'-x,-y,-z'
'-x,y,-z'
'x,-y,z'
'x+1/2,y+1/2,z'
'-x+1/2,-y+1/2,-z'
'-x+1/2,y+1/2,-z'
'x+1/2,-y+1/2,z'
loop_
_atom_site_label
_atom_site_type_symbol
_atom_site_fract_x
_atom_site_fract_y
_atom_site_fract_z
_atom_site_occupancy
U1 U 0.000 0.000 0.000 1
Tl1 Tl 0.148 0.500 0.630 1
Cl1 Cl 0.190 0.000 0.815 1
F1 F 0.049 0.244 0.253 1
```